CsRb3Ag2Bi2 after structural relaxation, computed with PBE.

```
data_CsRb3Ag2Bi2
_chemical_formula_sum 'Cs1 Rb3 Ag2 Bi2'
_space_group_name_H-M_alt 'P 1 m 1'
_space_group_IT_number 6
_cell_length_a 7.030
_cell_length_b 6.693
_cell_length_c 7.178
_cell_angle_alpha 90.00
_cell_angle_beta 105.23
_cell_angle_gamma 90.00
loop_
_space_group_symop_operation_xyz
'x,y,z'
'x,-y,z'
loop_
_atom_site_label
_atom_site_fract_x
_atom_site_fract_y
_atom_site_fract_z
_atom_site_occupancy
Cs1 0.000 0.000 0.000 1
Rb1 0.300 0.500 0.311 1
Rb2 0.653 0.000 0.345 1
Rb3 0.954 0.500 0.654 1
Ag1 0.473 0.251 0.827 1
Bi1 0.218 0.000 0.557 1
Bi2 0.733 0.500 0.093 1
```

## Properties
The calculation puts the total energy at -2.507 eV/atom.